This record from the Open Quantum Materials Database describes a relaxed NaMgAsPt crystal. The functional is PBE.

The calculation puts the energy above the most stable polymorph in this dataset at 147 meV per atom. For the magnetization, the calculation gives 0.00 μB per atom.

It has space group F-43m (No. 216), with a = 6.548 Å, b = 6.548 Å, c = 6.548 Å, α = 90.00°, β = 90.00° and γ = 90.00°. The inequivalent atoms are Na at (0.000, 0.000, 0.000), Mg at (0.250, 0.250, 0.750), As at (0.000, 0.000, 0.500) and Pt at (0.250, 0.250, 0.250).


This record from the Open Quantum Materials Database describes a relaxed Na2MgZnAs2 crystal. The functional is PBE.

As for the total energy: -3.001 eV per atom.

It has space group P-4m2 (No. 115), with a = 4.257 Å, b = 4.257 Å, c = 7.138 Å, α = 90.00°, β = 90.00° and γ = 90.00°. The inequivalent atoms are Na at (0.000, 0.500, 0.142), Mg at (0.000, 0.000, 0.500), Zn at (0.500, 0.500, 0.500) and As at (0.000, 0.500, 0.721).


This record from the Open Quantum Materials Database describes a relaxed MgNbAs crystal. The functional is PBE.

As for the total energy: -5.347 eV per atom. For the magnetization, the calculation gives 0.48 μB per atom.

It has space group F-43m (No. 216), with a = 6.196 Å, b = 6.196 Å, c = 6.196 Å, α = 90.00°, β = 90.00° and γ = 90.00°. The inequivalent atoms are Mg at (0.000, 0.000, 0.000), Nb at (0.000, 0.000, 0.500) and As at (0.250, 0.250, 0.250).


This record from the Open Quantum Materials Database describes a relaxed Mg2NbAs crystal. The functional is PBE.

As for the total energy: -4.233 eV per atom. For the magnetization, the calculation gives 0.00 μB per atom.

It has space group F-43m (No. 216), with a = 6.662 Å, b = 6.662 Å, c = 6.662 Å, α = 90.00°, β = 90.00° and γ = 90.00°. The inequivalent atoms are Mg at (0.000, 0.000, 0.000), Mg at (0.250, 0.250, 0.250), Nb at (0.250, 0.250, 0.750) and As at (0.000, 0.000, 0.500).


This record from the Open Quantum Materials Database describes a relaxed MgNb2As crystal. The functional is PBE.

As for the total energy: -6.435 eV per atom. For the magnetization, the calculation gives 0.02 μB per atom.

It has space group F-43m (No. 216), with a = 6.535 Å, b = 6.535 Å, c = 6.535 Å, α = 90.00°, β = 90.00° and γ = 90.00°. The inequivalent atoms are Mg at (0.000, 0.000, 0.000), Nb at (0.000, 0.000, 0.500), Nb at (0.250, 0.250, 0.250) and As at (0.250, 0.250, 0.750).


This record from the Open Quantum Materials Database describes a relaxed MgNbNiAs crystal. The functional is PBE.

The calculation puts the energy above the most stable polymorph in this dataset at 0 meV per atom. For the magnetization, the calculation gives 0.02 μB per atom.

It has space group F-43m (No. 216), with a = 6.275 Å, b = 6.275 Å, c = 6.275 Å, α = 90.00°, β = 90.00° and γ = 90.00°. The inequivalent atoms are Mg at (0.000, 0.000, 0.000), Nb at (0.250, 0.250, 0.250), Ni at (0.250, 0.250, 0.750) and As at (0.000, 0.000, 0.500).


This record from the Open Quantum Materials Database describes a relaxed MgNbAsW crystal. The functional is PBE.

The calculation puts the energy above the most stable polymorph in this dataset at 0 meV per atom. For the magnetization, the calculation gives 0.00 μB per atom.

It has space group F-43m (No. 216), with a = 6.419 Å, b = 6.419 Å, c = 6.419 Å, α = 90.00°, β = 90.00° and γ = 90.00°. The inequivalent atoms are Mg at (0.000, 0.000, 0.000), Nb at (0.250, 0.250, 0.250), As at (0.250, 0.250, 0.750) and W at (0.000, 0.000, 0.500).


This record from the Open Quantum Materials Database describes a relaxed MgNbAsW crystal. The functional is PBE.

The calculation puts the energy above the most stable polymorph in this dataset at 246 meV per atom. For the magnetization, the calculation gives 0.00 μB per atom.

It has space group F-43m (No. 216), with a = 6.432 Å, b = 6.432 Å, c = 6.432 Å, α = 90.00°, β = 90.00° and γ = 90.00°. The inequivalent atoms are Mg at (0.000, 0.000, 0.000), Nb at (0.250, 0.250, 0.250), As at (0.000, 0.000, 0.500) and W at (0.250, 0.250, 0.750).